1.
The following is a DFT calculation (PBE-GGA) of a geometry-optimized Np structure.

Cell and atoms, written as POSCAR:
```
Np
1.0
0.000 2.181 2.181
2.181 0.000 2.181
2.181 2.181 0.000
Np
1
Direct
0.000 0.000 0.000
```

Output
- symmetry = Fm-3m
- offset from the most stable computed form (eV per atom) = 0.6161
- calculated density (g cm⁻³) = 18.96

2.
The following is a DFT calculation (PBE-GGA) of a geometry-optimized Er2Th3Sc structure.

Cell and atoms, written as POSCAR:
```
Er2Th3Sc
1.0
6.044 0.000 0.000
0.000 7.031 0.000
-0.044 0.000 8.593
Er Th Sc
4 6 2
Direct
0.003 0.250 0.497
0.337 0.750 0.166
0.663 0.250 0.834
0.997 0.750 0.503
0.166 0.502 0.836
0.166 0.998 0.836
0.500 0.000 0.500
0.500 0.500 0.500
0.834 0.002 0.164
0.834 0.498 0.164
0.335 0.250 0.169
0.665 0.750 0.831
```

Output
- symmetry = P2_1/m
- offset from the most stable computed form (eV per atom) = 0.0033
- calculated density (g cm⁻³) = 9.78

3.
The following is a DFT calculation (PBE-GGA) of a geometry-optimized CeEr2In structure.

Cell and atoms, written as POSCAR:
```
CeEr2In
1.0
1.745 1.008 10.977
-1.745 1.008 10.977
0.000 -2.015 10.977
Ce Er In
1 2 1
Direct
0.000 0.000 0.000
0.579 0.579 0.579
0.755 0.755 0.755
0.167 0.167 0.167
```

Output
- symmetry = R3m
- offset from the most stable computed form (eV per atom) = 0.1139
- calculated density (g cm⁻³) = 8.45

4.
The following is a DFT calculation (PBE-GGA) of a geometry-optimized LaTl2CdIr structure.

Cell and atoms, written as POSCAR:
```
LaTl2CdIr
1.0
5.343 0.000 0.000
0.000 5.343 0.000
0.000 0.000 5.369
La Tl Cd Ir
1 2 1 1
Direct
0.000 0.000 0.000
0.000 0.500 0.500
0.500 0.000 0.500
0.500 0.500 0.000
0.000 0.000 0.500
```

Output
- symmetry = P4/mmm
- calculated density (g cm⁻³) = 9.24
- DFT total energy (eV/atom) = -4.066

5.
The following is a DFT calculation (PBE-GGA) of a geometry-optimized KSiAu3 structure.

Cell and atoms, written as POSCAR:
```
KSiAu3
1.0
3.068 -8.255 0.000
3.068 8.255 0.000
0.000 0.000 5.392
K Si Au
2 2 6
Direct
0.101 0.899 0.750
0.899 0.101 0.250
0.376 0.624 0.750
0.624 0.376 0.250
0.002 0.445 0.750
0.445 0.002 0.250
0.500 0.500 0.000
0.500 0.500 0.500
0.555 0.998 0.750
0.998 0.555 0.250
```

Output
- symmetry = Cmcm
- calculated density (g cm⁻³) = 8.00
- ΔE_f (raw) (meV/atom) = -106

6.
The following is a DFT calculation (PBE-GGA) of a geometry-optimized Sc3CdC structure.

Cell and atoms, written as POSCAR:
```
Sc3CdC
1.0
5.361 -6.431 0.000
5.361 6.431 0.000
-0.224 0.000 5.705
Sc Cd C
12 4 4
Direct
0.049 0.181 0.424
0.068 0.693 0.068
0.181 0.049 0.924
0.206 0.564 0.579
0.307 0.932 0.432
0.436 0.794 0.921
0.564 0.206 0.079
0.693 0.068 0.568
0.794 0.436 0.421
0.819 0.951 0.076
0.932 0.307 0.932
0.951 0.819 0.576
0.302 0.437 0.090
0.437 0.302 0.590
0.563 0.698 0.410
0.698 0.563 0.910
0.065 0.935 0.250
0.199 0.801 0.750
0.801 0.199 0.250
0.935 0.065 0.750
```

Output
- symmetry = C2/c
- offset from the most stable computed form (eV per atom) = 0.1167
- calculated density (g cm⁻³) = 4.38

- The highest calculated density belongs to which entry?
  Np

- Among the records above, which one has the lowest calculated density?
  Sc3CdC

Repeat the fifth record exactly.
The following is a DFT calculation (PBE-GGA) of a geometry-optimized KSiAu3 structure.

Cell and atoms, written as POSCAR:
```
KSiAu3
1.0
3.068 -8.255 0.000
3.068 8.255 0.000
0.000 0.000 5.392
K Si Au
2 2 6
Direct
0.101 0.899 0.750
0.899 0.101 0.250
0.376 0.624 0.750
0.624 0.376 0.250
0.002 0.445 0.750
0.445 0.002 0.250
0.500 0.500 0.000
0.500 0.500 0.500
0.555 0.998 0.750
0.998 0.555 0.250
```

Output
- symmetry = Cmcm
- calculated density (g cm⁻³) = 8.00
- ΔE_f (raw) (meV/atom) = -106